Entry 1:
The following is a DFT calculation (PBE) of a geometry-optimized K2LaBeP structure.

## Properties
Energy: -14.54 eV per cell
Calculated density: 2.03 Mg/m³
DFT formation energy: 0.344 eV/atom
V: 42.09 Å³/atom

a = 6.1057 Å, b = 5.6447 Å, c = 6.1057 Å
α = 90.00°, β = 90.00°, γ = 90.00°
With the nearest neighbours (Å) after each atom.
Fractional positions:
La: 0.0000 0.5000 0.0000  2 P 2.82
K: 0.5000 0.0000 0.0000  2 P 3.05
K: 0.0000 0.0000 0.5000  2 P 3.05
Be: 0.5000 0.5000 0.5000  8 K 4.16, 4 La 4.32
P: 0.0000 0.0000 0.0000  2 La 2.82, 4 K 3.05

---

Entry 2:
The following is a DFT calculation (PBE) of a geometry-optimized KLa2BePt structure.

## Properties
Energy: -19.29 eV per cell
Calculated density: 4.57 Mg/m³
DFT formation energy: 0.285 eV/atom
V: 37.90 Å³/atom

a = 5.5823 Å, b = 6.0814 Å, c = 5.5823 Å
α = 90.00°, β = 90.00°, γ = 90.00°
With the nearest neighbours (Å) after each atom.
Fractional positions:
La: 0.0000 0.0000 0.5000  2 Pt 2.79
La: 0.5000 0.0000 0.0000  2 Pt 2.79
Pt: 0.0000 0.0000 0.0000  4 La 2.79, 2 K 3.04
K: 0.0000 0.5000 0.0000  2 Pt 3.04
Be: 0.5000 0.5000 0.5000  4 K 3.95, 8 La 4.13

---

Entry 3:
The following is a DFT calculation (PBE) of a geometry-optimized K2LaBe2Se4 structure.

## Properties
Formation energy without anion corrections: -1.0994 eV/atom
Energy: -38.41 eV per cell
Calculated density: 3.79 Mg/m³
V: 26.84 Å³/atom

a = 3.8962 Å, b = 8.6852 Å, c = 8.1854 Å
α = 115.31°, β = 103.77°, γ = 90.00°
With the nearest neighbours (Å) after each atom.
Fractional positions:
Se: 0.2136 0.1363 0.4273  3 Be 2.35-2.38
Se: 0.7864 0.8637 0.5727  3 Be 2.35-2.38
Se: 0.4719 0.2457 0.9439  1 Be 2.21
Se: 0.5281 0.7543 0.0561  1 Be 2.21
Be: 0.3292 0.0325 0.6584  4 Se 2.21-2.38
Be: 0.6708 0.9675 0.3416  4 Se 2.21-2.38
K: 0.8765 0.4342 0.7530  6 Se 3.31-3.38, 1 K 3.57
K: 0.1235 0.5658 0.2470  6 Se 3.31-3.38, 1 K 3.57
La: 0.0000 0.0000 0.0000  6 Se 3.06-3.07

---

Entry 4:
The following is a DFT calculation (PBE) of a geometry-optimized KLa2BeV structure.

## Properties
Energy: -15.51 eV per cell
Calculated density: 4.27 Mg/m³
DFT formation energy: 1.658 eV/atom
V: 29.30 Å³/atom

a = 5.7068 Å, b = 4.4983 Å, c = 5.7068 Å
α = 90.00°, β = 90.00°, γ = 90.00°
With the nearest neighbours (Å) after each atom.
Fractional positions:
Be: 0.0000 0.5000 0.0000  2 K 2.25
La: 0.5000 0.0000 0.0000  2 K 2.85
La: 0.0000 0.0000 0.5000  2 K 2.85
V: 0.5000 0.5000 0.5000  8 La 3.63, 4 Be 4.04
K: 0.0000 0.0000 0.0000  2 Be 2.25

---

Entry 5:
The following is a DFT calculation (PBE) of a geometry-optimized KLaBeV2 structure.

## Properties
Energy: -22.64 eV per cell
Calculated density: 3.75 Mg/m³
DFT formation energy: 1.069 eV/atom
V: 25.58 Å³/atom

a = 4.8855 Å, b = 5.3596 Å, c = 4.8855 Å
α = 90.00°, β = 90.00°, γ = 90.00°
With the nearest neighbours (Å) after each atom.
Fractional positions:
K: 0.5000 0.5000 0.5000  4 La 3.45, 8 V 3.63
Be: 0.0000 0.0000 0.0000  4 V 2.44, 2 La 2.68
La: 0.0000 0.5000 0.0000  2 Be 2.68
V: 0.0000 0.0000 0.5000  2 Be 2.44
V: 0.5000 0.0000 0.0000  2 Be 2.44

---

Entry 6:
The following is a DFT calculation (PBE) of a geometry-optimized KLa2BeZn structure.

## Properties
Energy: -9.50 eV per cell
Calculated density: 4.35 Mg/m³
DFT formation energy: 1.291 eV/atom
V: 29.85 Å³/atom

a = 5.7573 Å, b = 4.5026 Å, c = 5.7573 Å
α = 90.00°, β = 90.00°, γ = 90.00°
With the nearest neighbours (Å) after each atom.
Fractional positions:
K: 0.0000 0.0000 0.0000  2 Be 2.25
La: 0.0000 0.0000 0.5000  2 K 2.88
La: 0.5000 0.0000 0.0000  2 K 2.88
Zn: 0.5000 0.5000 0.5000  8 La 3.65, 4 Be 4.07
Be: 0.0000 0.5000 0.0000  2 K 2.25

---

Entry 7:
The following is a DFT calculation (PBE) of a geometry-optimized K2LiBe structure.

## Properties
Energy: -5.21 eV per cell
Calculated density: 1.17 Mg/m³
DFT formation energy: 0.657 eV/atom
V: 33.37 Å³/atom

a = 5.7621 Å, b = 5.7621 Å, c = 5.7621 Å
α = 120.86°, β = 120.86°, γ = 88.51°
With the nearest neighbours (Å) after each atom.
Fractional positions:
K: 0.0000 0.0000 0.0000  4 K 3.51, 4 Be 3.51
K: 0.2500 0.7500 0.5000  4 K 3.51, 4 Li 3.51
Be: 0.7500 0.2500 0.5000  4 Li 3.51, 4 K 3.51
Li: 0.5000 0.5000 0.0000  4 Be 3.51, 4 K 3.51

---

Entry 8:
The following is a DFT calculation (PBE) of a geometry-optimized KLiBe structure.

## Properties
Distance to the lowest polymorph of the same formula: 823.5 meV/atom
Energy: -3.37 eV per cell
Calculated density: 0.86 Mg/m³
DFT formation energy: 1.122 eV/atom
V: 35.61 Å³/atom

a = 5.3260 Å, b = 5.3260 Å, c = 5.3260 Å
α = 60.00°, β = 60.00°, γ = 60.00°
With the nearest neighbours (Å) after each atom.
Fractional positions:
Be: 0.5000 0.5000 0.5000  4 K 3.26
K: 0.2500 0.2500 0.2500  4 Li 3.26, 4 Be 3.26
Li: 0.0000 0.0000 0.0000  4 K 3.26

---

Entry 9:
The following is a DFT calculation (PBE) of a geometry-optimized K2LiBe structure.

## Properties
Energy: -5.56 eV per cell
Calculated density: 1.00 Mg/m³
DFT formation energy: 0.568 eV/atom
V: 38.92 Å³/atom

a = 4.7964 Å, b = 5.2058 Å, c = 6.7559 Å
α = 67.35°, β = 90.00°, γ = 90.00°
With the nearest neighbours (Å) after each atom.
Fractional positions:
Li: 0.0000 0.6612 0.5532  2 Be 2.60
Be: 0.5000 0.5806 0.7138  2 Li 2.60
K: 0.0000 0.9795 0.9153  2 Li 3.44-3.45, 4 Be 3.75-3.76
K: 0.5000 0.2787 0.3177  3 Be 3.59-3.76, 4 Li 3.83

---

Entry 10:
The following is a DFT calculation (PBE) of a geometry-optimized KLi3Be structure.

## Properties
Distance to the lowest polymorph of the same formula: 810.3 meV/atom
Energy: -4.65 eV per cell
Calculated density: 0.83 Mg/m³
DFT formation energy: 1.183 eV/atom
V: 27.66 Å³/atom

a = 5.1713 Å, b = 5.1713 Å, c = 5.1713 Å
α = 90.00°, β = 90.00°, γ = 90.00°
With the nearest neighbours (Å) after each atom.
Fractional positions:
Be: 0.5000 0.5000 0.5000  12 Li 3.66
Li: 0.0000 0.5000 0.0000  2 K 2.59
Li: 0.5000 0.0000 0.0000  2 K 2.59
Li: 0.0000 0.0000 0.5000  2 K 2.59
K: 0.0000 0.0000 0.0000  6 Li 2.59

---

Entry 11:
The following is a DFT calculation (PBE) of a geometry-optimized K2LiBe structure.

## Properties
Energy: -5.75 eV per cell
Calculated density: 1.11 Mg/m³
DFT formation energy: 0.521 eV/atom
V: 35.34 Å³/atom

a = 3.7699 Å, b = 3.7194 Å, c = 10.0809 Å
α = 90.00°, β = 90.00°, γ = 90.00°
With the nearest neighbours (Å) after each atom.
Fractional positions:
K: 0.5000 0.5000 0.3247  1 Be 3.38, 4 K 3.72-3.77
K: 0.0000 0.0000 0.9120  1 Li 3.11
Li: 0.0000 0.0000 0.6034  4 Be 2.71
Be: 0.5000 0.5000 0.6599  4 Li 2.71

---

Entry 12:
The following is a DFT calculation (PBE) of a geometry-optimized KLiBe structure.

## Properties
Distance to the lowest polymorph of the same formula: 50.5 meV/atom
Energy: -11.38 eV per cell
Calculated density: 0.96 Mg/m³
DFT formation energy: 0.349 eV/atom
V: 31.90 Å³/atom

a = 4.2093 Å, b = 4.5066 Å, c = 10.3326 Å
α = 102.42°, β = 90.23°, γ = 90.14°
With the nearest neighbours (Å) after each atom.
Fractional positions:
Be: 0.5000 0.0000 0.0000  2 Be 2.10
Be: 0.0000 0.0000 0.0000  2 Be 2.10
K: 0.7535 0.1519 0.3082  2 Be 3.28
K: 0.2465 0.8481 0.6918  2 Be 3.28
Li: 0.2509 0.5405 0.0829  4 Be 2.62-2.63, 2 Li 2.69
Li: 0.7491 0.4595 0.9171  4 Be 2.62-2.63, 2 Li 2.69